Here is an optimized crystal structure of AlCu2Re from Alexandria via LeMat-Bulk. Energies are from PBE.

Cell and atoms, written as POSCAR:
```
AlCu2Re
1.0
8.6988 -0.0105 -0.0062
8.2797 2.6674 -0.0062
8.2797 1.2956 2.3316
Re Al Cu
1 1 2
direct
0.2500 0.2500 0.2500 Re
0.7500 0.7500 0.7500 Al
0.0025 0.0025 0.0025 Cu
0.4975 0.4975 0.4975 Cu
```

Summary:
* calculated total energy: -0.219 Ha/atom
* energy of formation: 0.129 eV per atom
* volume: 13.61 Å³ per atom